[1]
# DyMg2Pt9, relaxed, DFT PBE
# Calculated total energy = -5.912 eV per atom
# Energy of formation = -0.73 eV/atom
# Magnetization = 0.0000 μB per atom
data_DyMg2Pt9
_symmetry_space_group_name_H-M 'P 4/m m m'
_symmetry_Int_Tables_number 123
_symmetry_space_group_name_Hall '-P 4 2'
_cell_length_a 4.025
_cell_length_b 4.025
_cell_length_c 12.005
_cell_angle_alpha 90.00
_cell_angle_beta 90.00
_cell_angle_gamma 90.00
loop_
_atom_site_label
_atom_site_fract_x
_atom_site_fract_y
_atom_site_fract_z
Dy1 0.000 0.000 0.000
Mg1 0.000 0.000 0.340
Pt1 0.000 0.500 0.177
Pt2 0.000 0.500 0.500
Pt3 0.500 0.500 0.000
Pt4 0.500 0.500 0.338

[2]
# LiWC3, relaxed, DFT PBE
# Calculated total energy = -5.915 eV per atom
# Energy of formation = 2.59 eV/atom
# Magnetization = 0.0000 μB per atom
data_LiWC3
_symmetry_space_group_name_H-M 'P m -3 m'
_symmetry_Int_Tables_number 221
_symmetry_space_group_name_Hall '-P 4 2 3'
_cell_length_a 3.516
_cell_length_b 3.516
_cell_length_c 3.516
_cell_angle_alpha 90.00
_cell_angle_beta 90.00
_cell_angle_gamma 90.00
loop_
_atom_site_label
_atom_site_fract_x
_atom_site_fract_y
_atom_site_fract_z
Li1 0.000 0.000 0.000
W1 0.500 0.500 0.500
C1 0.000 0.000 0.500

[3]
# Ta2NbTl, relaxed, DFT PBE
# Calculated total energy = -8.615 eV per atom
# Energy of formation = 0.42 eV/atom
# Magnetization = 0.0000 μB per atom
data_Ta2NbTl
_symmetry_space_group_name_H-M 'F m -3 m'
_symmetry_Int_Tables_number 225
_symmetry_space_group_name_Hall '-F 4 2 3'
_cell_length_a 6.745
_cell_length_b 6.745
_cell_length_c 6.745
_cell_angle_alpha 90.00
_cell_angle_beta 90.00
_cell_angle_gamma 90.00
loop_
_atom_site_label
_atom_site_fract_x
_atom_site_fract_y
_atom_site_fract_z
Ta1 0.250 0.250 0.250
Nb1 0.000 0.000 0.000
Tl1 0.000 0.000 0.500

[4]
# Cs2NdCuI6, relaxed, DFT PBE
# Calculated total energy = -3.155 eV per atom
# Magnetization = 0.0000 μB per atom
# ΔE_f (raw) = -1.1681 eV/atom
data_Cs2NdCuI6
_symmetry_space_group_name_H-M 'F m -3 m'
_symmetry_Int_Tables_number 225
_symmetry_space_group_name_Hall '-F 4 2 3'
_cell_length_a 12.050
_cell_length_b 12.050
_cell_length_c 12.050
_cell_angle_alpha 90.00
_cell_angle_beta 90.00
_cell_angle_gamma 90.00
loop_
_atom_site_label
_atom_site_fract_x
_atom_site_fract_y
_atom_site_fract_z
Cs1 0.250 0.250 0.250
Nd1 0.000 0.000 0.000
Cu1 0.000 0.000 0.500
I1 0.000 0.000 0.259

[5]
# Sc2Al3Ru, relaxed, DFT PBE
# Calculated total energy = -6.147 eV per atom
# Energy of formation = -0.62 eV/atom
# Magnetization = 0.0000 μB per atom
data_Sc2Al3Ru
_symmetry_space_group_name_H-M 'R -3 m'
_symmetry_Int_Tables_number 166
_symmetry_space_group_name_Hall '-R 3 2"'
_cell_length_a 5.3031
_cell_length_b 5.3031
_cell_length_c 12.7874
_cell_angle_alpha 90.00
_cell_angle_beta 90.00
_cell_angle_gamma 120.00
loop_
_atom_site_label
_atom_site_fract_x
_atom_site_fract_y
_atom_site_fract_z
Sc1 0.0000 0.0000 0.1277
Al1 0.0000 0.5000 0.0000
Ru1 0.0000 0.0000 0.5000

[6]
# Ba4GePCl2, relaxed, DFT PBE
# Calculated total energy = -4.073 eV per atom
# Magnetization = 0.0827 μB per atom
# ΔE_f (raw) = -1.3964 eV/atom
data_Ba4GePCl2
_symmetry_space_group_name_H-M 'P 1 2/m 1'
_symmetry_Int_Tables_number 10
_symmetry_space_group_name_Hall '-P 2y'
_cell_length_a 8.289
_cell_length_b 4.604
_cell_length_c 8.315
_cell_angle_alpha 90.00
_cell_angle_beta 108.86
_cell_angle_gamma 90.00
loop_
_atom_site_label
_atom_site_fract_x
_atom_site_fract_y
_atom_site_fract_z
Ba1 0.238 0.000 0.224
Ba2 0.242 0.500 0.766
Ge1 0.500 0.000 0.000
P1 0.000 0.500 0.000
Cl1 0.000 0.000 0.500
Cl2 0.500 0.500 0.500

[7]
# HoMgP2Pd5, relaxed, DFT PBE
# Calculated total energy = -5.627 eV per atom
# Energy of formation = -0.85 eV/atom
# Magnetization = 0.0000 μB per atom
data_HoMgP2Pd5
_symmetry_space_group_name_H-M 'P 4/m m m'
_symmetry_Int_Tables_number 123
_symmetry_space_group_name_Hall '-P 4 2'
_cell_length_a 4.105
_cell_length_b 4.105
_cell_length_c 8.587
_cell_angle_alpha 90.00
_cell_angle_beta 90.00
_cell_angle_gamma 90.00
loop_
_atom_site_label
_atom_site_fract_x
_atom_site_fract_y
_atom_site_fract_z
Ho1 0.000 0.000 0.000
Mg1 0.000 0.000 0.500
P1 0.500 0.500 0.129
Pd1 0.000 0.500 0.270
Pd2 0.500 0.500 0.500

[8]
# PaVNi, relaxed, DFT PBE
# Calculated total energy = -8.078 eV per atom
# Energy of formation = 0.05 eV/atom
# Magnetization = 0.0000 μB per atom
data_PaVNi
_symmetry_space_group_name_H-M 'I 4 m m'
_symmetry_Int_Tables_number 107
_symmetry_space_group_name_Hall 'I 4 -2'
_cell_length_a 3.516
_cell_length_b 3.516
_cell_length_c 8.079
_cell_angle_alpha 90.00
_cell_angle_beta 90.00
_cell_angle_gamma 90.00
loop_
_atom_site_label
_atom_site_fract_x
_atom_site_fract_y
_atom_site_fract_z
Pa1 0.000 0.000 0.000
V1 0.000 0.000 0.299
Ni1 0.000 0.000 0.666

[9]
# Cs2BaIBr6, relaxed, DFT PBE
# Calculated total energy = -2.749 eV per atom
# Magnetization = 0.1000 μB per atom
# ΔE_f (raw) = -1.2278 eV/atom
data_Cs2BaIBr6
_symmetry_space_group_name_H-M 'I 4/m m m'
_symmetry_Int_Tables_number 139
_symmetry_space_group_name_Hall '-I 4 2'
_cell_length_a 9.287
_cell_length_b 9.287
_cell_length_c 11.725
_cell_angle_alpha 90.00
_cell_angle_beta 90.00
_cell_angle_gamma 90.00
loop_
_atom_site_label
_atom_site_fract_x
_atom_site_fract_y
_atom_site_fract_z
Cs1 0.000 0.500 0.250
Ba1 0.000 0.000 0.000
I1 0.000 0.000 0.500
Br1 0.000 0.000 0.273
Br2 0.238 0.238 0.000

[10]
# SbRhNO2, relaxed, DFT PBE
# Calculated total energy = -5.548 eV per atom
# Magnetization = 0.4624 μB per atom
# ΔE_f (raw) = 0.3947 eV/atom
data_SbRhNO2
_symmetry_space_group_name_H-M 'P 4/m m m'
_symmetry_Int_Tables_number 123
_symmetry_space_group_name_Hall '-P 4 2'
_cell_length_a 3.924
_cell_length_b 3.924
_cell_length_c 4.110
_cell_angle_alpha 90.00
_cell_angle_beta 90.00
_cell_angle_gamma 90.00
loop_
_atom_site_label
_atom_site_fract_x
_atom_site_fract_y
_atom_site_fract_z
Sb1 0.000 0.000 0.000
Rh1 0.500 0.500 0.500
N1 0.000 0.000 0.500
O1 0.000 0.500 0.000

[11]
# HoPuTeAs, relaxed, DFT PBE
# Calculated total energy = -7.964 eV per atom
# Magnetization = 1.4136 μB per atom
# ΔE_f (raw) = -1.2884 eV/atom
data_HoPuTeAs
_symmetry_space_group_name_H-M 'R 3 m'
_symmetry_Int_Tables_number 160
_symmetry_space_group_name_Hall 'R 3 -2"'
_cell_length_a 4.2324
_cell_length_b 4.2324
_cell_length_c 21.1691
_cell_angle_alpha 90.00
_cell_angle_beta 90.00
_cell_angle_gamma 120.00
loop_
_atom_site_label
_atom_site_fract_x
_atom_site_fract_y
_atom_site_fract_z
Ho1 0.0000 0.0000 0.0000
Pu1 0.0000 0.0000 0.5175
Te1 0.0000 0.0000 0.7574
As1 0.0000 0.0000 0.2608

[12]
# Hf2BC, relaxed, DFT PBE
# Calculated total energy = -9.079 eV per atom
# Energy of formation = -0.13 eV/atom
# Magnetization = 0.0000 μB per atom
data_Hf2BC
_symmetry_space_group_name_H-M 'I -4 2 d'
_symmetry_Int_Tables_number 122
_symmetry_space_group_name_Hall 'I -4 2bw'
_cell_length_a 6.041
_cell_length_b 6.041
_cell_length_c 6.243
_cell_angle_alpha 90.00
_cell_angle_beta 90.00
_cell_angle_gamma 90.00
loop_
_atom_site_label
_atom_site_fract_x
_atom_site_fract_y
_atom_site_fract_z
Hf1 0.232 0.750 0.125
B1 0.000 0.000 0.500
C1 0.000 0.000 0.000

[13]
# Li6Mg2Ge, relaxed, DFT PBE
# Calculated total energy = -2.254 eV per atom
# Energy of formation = -0.11 eV/atom
# Magnetization = 0.0000 μB per atom
data_Li6Mg2Ge
_symmetry_space_group_name_H-M 'C 1 m 1'
_symmetry_Int_Tables_number 8
_symmetry_space_group_name_Hall 'C -2y'
_cell_length_a 13.008
_cell_length_b 8.706
_cell_length_c 2.952
_cell_angle_alpha 90.00
_cell_angle_beta 94.10
_cell_angle_gamma 90.00
loop_
_atom_site_label
_atom_site_fract_x
_atom_site_fract_y
_atom_site_fract_z
Li1 0.000 0.151 0.000
Li2 0.149 0.349 0.430
Li3 0.318 0.239 0.057
Mg1 0.188 0.000 0.559
Mg2 0.451 0.000 0.635
Ge1 0.339 0.500 0.528

[14]
# ZrW2Cl, relaxed, DFT PBE
# Calculated total energy = -7.802 eV per atom
# Magnetization = 0.0000 μB per atom
# ΔE_f (raw) = 1.2734 eV/atom
data_ZrW2Cl
_symmetry_space_group_name_H-M 'F m -3 m'
_symmetry_Int_Tables_number 225
_symmetry_space_group_name_Hall '-F 4 2 3'
_cell_length_a 6.575
_cell_length_b 6.575
_cell_length_c 6.575
_cell_angle_alpha 90.00
_cell_angle_beta 90.00
_cell_angle_gamma 90.00
loop_
_atom_site_label
_atom_site_fract_x
_atom_site_fract_y
_atom_site_fract_z
Zr1 0.000 0.000 0.000
W1 0.250 0.250 0.250
Cl1 0.000 0.000 0.500

[15]
# ReMoPt3, relaxed, DFT PBE
# Calculated total energy = -6.768 eV per atom
# Energy of formation = 1.51 eV/atom
# Magnetization = 0.7327 μB per atom
data_ReMoPt3
_symmetry_space_group_name_H-M 'P m -3 m'
_symmetry_Int_Tables_number 221
_symmetry_space_group_name_Hall '-P 4 2 3'
_cell_length_a 4.805
_cell_length_b 4.805
_cell_length_c 4.805
_cell_angle_alpha 90.00
_cell_angle_beta 90.00
_cell_angle_gamma 90.00
loop_
_atom_site_label
_atom_site_fract_x
_atom_site_fract_y
_atom_site_fract_z
Re1 0.000 0.000 0.000
Mo1 0.500 0.500 0.500
Pt1 0.000 0.000 0.500

[16]
# Ac6Co2HI3, relaxed, DFT PBE
# Calculated total energy = -4.535 eV per atom
# Magnetization = 0.0000 μB per atom
data_Ac6Co2HI3
_symmetry_space_group_name_H-M 'C 1 2/m 1'
_symmetry_Int_Tables_number 12
_symmetry_space_group_name_Hall '-C 2y'
_cell_length_a 7.393
_cell_length_b 12.782
_cell_length_c 8.961
_cell_angle_alpha 90.00
_cell_angle_beta 106.02
_cell_angle_gamma 90.00
loop_
_atom_site_label
_atom_site_fract_x
_atom_site_fract_y
_atom_site_fract_z
Ac1 0.216 0.000 0.181
Ac2 0.232 0.328 0.181
Co1 0.000 0.166 0.000
H1 0.000 0.500 0.000
I1 0.000 0.000 0.500
I2 0.000 0.331 0.500

[17]
# AcTmSn, relaxed, DFT PBE
# Calculated total energy = -4.491 eV per atom
# Energy of formation = -0.30 eV/atom
# Magnetization = 0.0001 μB per atom
data_AcTmSn
_symmetry_space_group_name_H-M 'F -4 3 m'
_symmetry_Int_Tables_number 216
_symmetry_space_group_name_Hall 'F -4 2 3'
_cell_length_a 7.588
_cell_length_b 7.588
_cell_length_c 7.588
_cell_angle_alpha 90.00
_cell_angle_beta 90.00
_cell_angle_gamma 90.00
loop_
_atom_site_label
_atom_site_fract_x
_atom_site_fract_y
_atom_site_fract_z
Ac1 0.000 0.000 0.000
Tm1 0.000 0.000 0.500
Sn1 0.250 0.250 0.250

[18]
# KMnSi2C, relaxed, DFT PBE
# Calculated total energy = -4.899 eV per atom
# Magnetization = 0.0637 μB per atom
# ΔE_f (raw) = 1.1684 eV/atom
data_KMnSi2C
_symmetry_space_group_name_H-M 'P 4/m m m'
_symmetry_Int_Tables_number 123
_symmetry_space_group_name_Hall '-P 4 2'
_cell_length_a 4.582
_cell_length_b 4.582
_cell_length_c 3.889
_cell_angle_alpha 90.00
_cell_angle_beta 90.00
_cell_angle_gamma 90.00
loop_
_atom_site_label
_atom_site_fract_x
_atom_site_fract_y
_atom_site_fract_z
K1 0.000 0.000 0.000
Mn1 0.500 0.500 0.000
Si1 0.000 0.500 0.500
C1 0.500 0.500 0.500

[19]
# KBeCl2, relaxed, DFT PBE
# Calculated total energy = -2.729 eV per atom
# Magnetization = 0.0000 μB per atom
# ΔE_f (raw) = -0.5998 eV/atom
data_KBeCl2
_symmetry_space_group_name_H-M 'R -3 m'
_symmetry_Int_Tables_number 166
_symmetry_space_group_name_Hall '-R 3 2"'
_cell_length_a 3.4933
_cell_length_b 3.4933
_cell_length_c 34.4115
_cell_angle_alpha 90.00
_cell_angle_beta 90.00
_cell_angle_gamma 120.00
loop_
_atom_site_label
_atom_site_fract_x
_atom_site_fract_y
_atom_site_fract_z
K1 0.0000 0.0000 0.0000
Be1 0.0000 0.0000 0.5000
Cl1 0.0000 0.0000 0.1314

[20]
# NaAlOs3, relaxed, DFT PBE
# Calculated total energy = -4.918 eV per atom
# Energy of formation = 2.83 eV/atom
# Magnetization = 0.3197 μB per atom
data_NaAlOs3
_symmetry_space_group_name_H-M 'P m -3 m'
_symmetry_Int_Tables_number 221
_symmetry_space_group_name_Hall '-P 4 2 3'
_cell_length_a 4.437
_cell_length_b 4.437
_cell_length_c 4.437
_cell_angle_alpha 90.00
_cell_angle_beta 90.00
_cell_angle_gamma 90.00
loop_
_atom_site_label
_atom_site_fract_x
_atom_site_fract_y
_atom_site_fract_z
Na1 0.000 0.000 0.000
Al1 0.500 0.500 0.500
Os1 0.000 0.000 0.500

[21]
# Ba3TmIn2O8, relaxed, DFT PBE
# Calculated total energy = -6.167 eV per atom
# Magnetization = 0.0810 μB per atom
# ΔE_f (raw) = -2.2115 eV/atom
data_Ba3TmIn2O8
_symmetry_space_group_name_H-M 'P -3 m 1'
_symmetry_Int_Tables_number 164
_symmetry_space_group_name_Hall '-P 3 2"'
_cell_length_a 6.1468
_cell_length_b 6.1468
_cell_length_c 7.8621
_cell_angle_alpha 90.00
_cell_angle_beta 90.00
_cell_angle_gamma 120.00
loop_
_atom_site_label
_atom_site_fract_x
_atom_site_fract_y
_atom_site_fract_z
Ba1 0.0000 0.0000 0.0000
Ba2 0.3333 0.6667 0.6345
Tm1 0.0000 0.0000 0.5000
In1 0.3333 0.6667 0.1983
O1 0.1626 0.3252 0.3268
O2 0.3333 0.6667 0.9447

[22]
# CdPCl2, relaxed, DFT PBE
# Calculated total energy = -2.163 eV per atom
# Magnetization = 0.0000 μB per atom
# ΔE_f (raw) = 0.3420 eV/atom
data_CdPCl2
_symmetry_space_group_name_H-M 'C m m m'
_symmetry_Int_Tables_number 65
_symmetry_space_group_name_Hall '-C 2 2'
_cell_length_a 6.180
_cell_length_b 8.069
_cell_length_c 3.347
_cell_angle_alpha 90.00
_cell_angle_beta 90.00
_cell_angle_gamma 90.00
loop_
_atom_site_label
_atom_site_fract_x
_atom_site_fract_y
_atom_site_fract_z
Cd1 0.000 0.000 0.000
P1 0.000 0.500 0.000
Cl1 0.250 0.250 0.500

[23]
# Tb2PaAg, relaxed, DFT PBE
# Calculated total energy = -5.142 eV per atom
# Energy of formation = 0.26 eV/atom
# Magnetization = 0.0000 μB per atom
data_Tb2PaAg
_symmetry_space_group_name_H-M 'R -3 m'
_symmetry_Int_Tables_number 166
_symmetry_space_group_name_Hall '-R 3 2"'
_cell_length_a 3.2395
_cell_length_b 3.2395
_cell_length_c 34.5947
_cell_angle_alpha 90.00
_cell_angle_beta 90.00
_cell_angle_gamma 120.00
loop_
_atom_site_label
_atom_site_fract_x
_atom_site_fract_y
_atom_site_fract_z
Tb1 0.0000 0.0000 0.0929
Pa1 0.0000 0.0000 0.0000
Ag1 0.0000 0.0000 0.5000

[24]
# Sm3IrI7, relaxed, DFT PBE
# Calculated total energy = -4.091 eV per atom
# Magnetization = 0.0968 μB per atom
# ΔE_f (raw) = -1.0122 eV/atom
data_Sm3IrI7
_symmetry_space_group_name_H-M 'P 3 m 1'
_symmetry_Int_Tables_number 156
_symmetry_space_group_name_Hall 'P 3 -2"'
_cell_length_a 9.0750
_cell_length_b 9.0750
_cell_length_c 6.0330
_cell_angle_alpha 90.00
_cell_angle_beta 90.00
_cell_angle_gamma 120.00
loop_
_atom_site_label
_atom_site_fract_x
_atom_site_fract_y
_atom_site_fract_z
Sm1 0.0412 0.5206 0.0000
Ir1 0.3333 0.6667 0.2725
I1 0.1895 0.3789 0.6366
I2 0.3047 0.1524 0.1861
I3 0.6667 0.3333 0.7159

[25]
# KNpTl2Cl6, relaxed, DFT PBE
# Calculated total energy = -4.497 eV per atom
# Magnetization = 0.4000 μB per atom
# ΔE_f (raw) = -1.5124 eV/atom
data_KNpTl2Cl6
_symmetry_space_group_name_H-M 'R 3'
_symmetry_Int_Tables_number 146
_symmetry_space_group_name_Hall 'R 3'
_cell_length_a 7.8468
_cell_length_b 7.8468
_cell_length_c 20.1439
_cell_angle_alpha 90.00
_cell_angle_beta 90.00
_cell_angle_gamma 120.00
loop_
_atom_site_label
_atom_site_fract_x
_atom_site_fract_y
_atom_site_fract_z
K1 0.0000 0.0000 0.0000
Np1 0.0000 0.0000 0.4930
Tl1 0.0000 0.0000 0.2840
Tl2 0.0000 0.0000 0.7889
Cl1 0.0123 0.4052 0.2316
Cl2 0.0779 0.6950 0.0721

[26]
# LaNd3Dy4, relaxed, DFT PBE
# Calculated total energy = -4.574 eV per atom
# Energy of formation = 0.13 eV/atom
# Magnetization = 0.0000 μB per atom
data_LaNd3Dy4
_symmetry_space_group_name_H-M 'I m m m'
_symmetry_Int_Tables_number 71
_symmetry_space_group_name_Hall '-I 2 2'
_cell_length_a 3.461
_cell_length_b 11.744
_cell_length_c 13.289
_cell_angle_alpha 90.00
_cell_angle_beta 90.00
_cell_angle_gamma 90.00
loop_
_atom_site_label
_atom_site_fract_x
_atom_site_fract_y
_atom_site_fract_z
La1 0.000 0.000 0.000
Nd1 0.000 0.000 0.500
Nd2 0.000 0.500 0.258
Dy1 0.000 0.251 0.135